No. 1
First-principles (PBE-GGA) data for crystalline ScReSe2 at its relaxed geometry, as listed in the Alexandria database.

Cell lengths 3.1810, 4.5209, 10.0638 Å; angles 90.00, 90.00, 90.00 degrees
Space group Imm2 (No. 44)
One atom of each set of equivalent atoms:
Sc: 0.0000 0.0000 0.0000
Re: 0.0000 0.5000 0.2200
Se: 0.0000 0.0000 0.5261
Se: 0.0000 0.5000 0.7367

Values from the calculation:
- raw formation energy (eV/atom) = -0.25
- distance to the lowest polymorph of the same formula (eV/atom) = 0.234


No. 2
First-principles (PBE-GGA) data for crystalline La2NdSm3 at its relaxed geometry, as listed in the Alexandria database.

Cell lengths 17.4430, 7.0245, 7.1073 Å; angles 90.00, 101.73, 90.00 degrees
Space group C2/c (No. 15)
One atom of each set of equivalent atoms:
La: 0.1748 0.0017 0.0878
Nd: 0.0000 0.2348 0.7500
Sm: 0.0000 0.2372 0.2500
Sm: 0.1402 0.4988 0.5697

Values from the calculation:
- distance to the lowest polymorph of the same formula (eV/atom) = 0.065
- calculated formation energy (eV/atom) = 0.13


No. 3
First-principles (PBE-GGA) data for crystalline NaGaAg2 at its relaxed geometry, as listed in the Alexandria database.

Cell lengths 4.2029, 4.2029, 19.3432 Å; angles 90.00, 90.00, 90.00 degrees
Space group I-42d (No. 122)
One atom of each set of equivalent atoms:
Na: 0.0000 0.0000 0.0000
Ga: 0.0000 0.0000 0.5000
Ag: 0.2298 0.2500 0.6250

Values from the calculation:
- calculated formation energy (eV/atom) = 0.17


No. 4
First-principles (PBE-GGA) data for crystalline Nd2HfS5 at its relaxed geometry, as listed in the Alexandria database.

Cell lengths 5.2426, 13.7311, 13.0033 Å; angles 90.00, 90.00, 90.00 degrees
Space group Cmcm (No. 63)
One atom of each set of equivalent atoms:
Nd: 0.0000 0.1436 0.0648
Hf: 0.0000 0.1840 0.7500
S: 0.0000 0.0493 0.6237
S: 0.0000 0.2739 0.2500
S: 0.0000 0.2982 0.5908

Values from the calculation:
- raw formation energy (eV/atom) = -1.79
- distance to the lowest polymorph of the same formula (eV/atom) = 0.112


No. 5
First-principles (PBE-GGA) data for crystalline Ce2Al3Ni12Pt at its relaxed geometry, as listed in the Alexandria database.

Cell lengths 8.4335, 8.4335, 12.2461 Å; angles 90.00, 90.00, 120.00 degrees
Space group R-3m (No. 166, hexagonal axes)
One atom of each set of equivalent atoms:
Ce: 0.0000 0.0000 0.1563
Al: 0.0000 0.5000 0.0000
Ni: 0.0009 0.5005 0.7971
Ni: 0.0020 0.5010 0.3960
Pt: 0.0000 0.0000 0.5000

Values from the calculation:
- calculated formation energy (eV/atom) = -0.20


No. 6
First-principles (PBE-GGA) data for crystalline CaTiAgF6 at its relaxed geometry, as listed in the Alexandria database.

Cell lengths 5.8499, 5.8499, 9.5701 Å; angles 90.00, 90.00, 120.00 degrees
Space group P-31c (No. 163)
One atom of each set of equivalent atoms:
Ca: 0.3333 0.6667 0.2500
Ti: 0.3333 0.6667 0.7500
Ag: 0.0000 0.0000 0.0000
F: 0.0360 0.3847 0.6395

Values from the calculation:
- raw formation energy (eV/atom) = -2.96


No. 7
First-principles (PBE-GGA) data for crystalline Ce4Cd2Ga at its relaxed geometry, as listed in the Alexandria database.

Cell lengths 2.9384, 41.0047, 2.9519 Å; angles 90.00, 90.00, 90.00 degrees
Space group Cmmm (No. 65)
One atom of each set of equivalent atoms:
Ce: 0.0000 0.0742 0.0000
Ce: 0.0000 0.3633 0.5000
Cd: 0.0000 0.2840 0.5000
Ga: 0.0000 0.0000 0.0000

Values from the calculation:
- calculated formation energy (eV/atom) = 0.21


No. 8
First-principles (PBE-GGA) data for crystalline Al2IrOs at its relaxed geometry, as listed in the Alexandria database.

Cell lengths 4.2510, 4.2510, 3.0322 Å; angles 90.00, 90.00, 90.00 degrees
Space group P4/mmm (No. 123)
One atom of each set of equivalent atoms:
Al: 0.0000 0.5000 0.0000
Ir: 0.0000 0.0000 0.5000
Os: 0.5000 0.5000 0.5000

Values from the calculation:
- distance to the lowest polymorph of the same formula (eV/atom) = 0.003
- calculated formation energy (eV/atom) = -0.70